[1]
The following is a GGA-PBE calculation of a relaxed structure of Zn2InSCl, from the Alexandria database.

Properties
* symmetry: P4/mmm, No. 123
* total energy: -2.335 eV/atom
* ΔE_f (raw): -0.083 eV/atom

a b c (Å): 4.7315 4.7315 6.7678
angles (deg): 90.00 90.00 90.00
With the nearest neighbours (Å) after each atom.
Positions (direct):
Zn: 0.0000 0.5000 0.0000  2 S 2.37
Zn: 0.5000 0.0000 0.0000  2 S 2.37
In: 0.0000 0.0000 0.5000  4 Cl 3.35, 2 S 3.38
S: 0.0000 0.0000 0.0000  4 Zn 2.37
Cl: 0.5000 0.5000 0.5000  4 In 3.35

=====

[2]
The following is a GGA-PBE calculation of a relaxed structure of ZnInS2Cl, from the Alexandria database.

Properties
* symmetry: P4/mmm, No. 123
* E above lowest polymorph: 0.2323 eV/atom
* total energy: -2.667 eV/atom
* ΔE_f (raw): 0.156 eV/atom

a b c (Å): 5.0822 5.0822 5.0166
angles (deg): 90.00 90.00 90.00
With the nearest neighbours (Å) after each atom.
Positions (direct):
Zn: 0.0000 0.0000 0.0000  8 S 3.57, 4 Cl 3.59
In: 0.5000 0.5000 0.5000  2 Cl 2.51, 4 S 2.54
S: 0.0000 0.5000 0.5000  2 In 2.54
S: 0.5000 0.0000 0.5000  2 In 2.54
Cl: 0.5000 0.5000 0.0000  2 In 2.51

=====

[3]
The following is a GGA-PBE calculation of a relaxed structure of ZnInS2Cl, from the Alexandria database.

Properties
* symmetry: P4/mmm, No. 123
* E above lowest polymorph: 0.0000 eV/atom
* total energy: -2.899 eV/atom
* ΔE_f (raw): -0.076 eV/atom

a b c (Å): 4.6867 4.6867 5.1414
angles (deg): 90.00 90.00 90.00
With the nearest neighbours (Å) after each atom.
Positions (direct):
Zn: 0.0000 0.0000 0.0000  4 S 2.34, 2 Cl 2.57
In: 0.5000 0.5000 0.5000  4 Cl 3.31, 8 S 3.48
S: 0.0000 0.5000 0.0000  2 Zn 2.34
S: 0.5000 0.0000 0.0000  2 Zn 2.34
Cl: 0.0000 0.0000 0.5000  2 Zn 2.57

=====

[4]
The following is a GGA-PBE calculation of a relaxed structure of ZrInSCl2, from the Alexandria database.

Properties
* symmetry: P4/mmm, No. 123
* E above lowest polymorph: 1.0731 eV/atom
* total energy: -3.809 eV/atom
* ΔE_f (raw): 0.013 eV/atom

a b c (Å): 5.1242 5.1242 5.1117
angles (deg): 90.00 90.00 90.00
With the nearest neighbours (Å) after each atom.
Positions (direct):
Zr: 0.0000 0.0000 0.0000  8 Cl 3.62, 4 S 3.62
In: 0.5000 0.5000 0.5000  2 S 2.56, 4 Cl 2.56
S: 0.5000 0.5000 0.0000  2 In 2.56
Cl: 0.0000 0.5000 0.5000  2 In 2.56
Cl: 0.5000 0.0000 0.5000  2 In 2.56

=====

[5]
The following is a GGA-PBE calculation of a relaxed structure of ZrInSCl2, from the Alexandria database.

Properties
* symmetry: P4/mmm, No. 123
* E above lowest polymorph: 0.0000 eV/atom
* total energy: -4.882 eV/atom
* ΔE_f (raw): -1.061 eV/atom

a b c (Å): 5.3816 5.3816 5.0255
angles (deg): 90.00 90.00 90.00
With the nearest neighbours (Å) after each atom.
Positions (direct):
Zr: 0.0000 0.0000 0.0000  2 S 2.51, 4 Cl 2.69
In: 0.5000 0.5000 0.5000  8 Cl 3.68, 4 S 3.81
S: 0.0000 0.0000 0.5000  2 Zr 2.51
Cl: 0.0000 0.5000 0.0000  2 Zr 2.69
Cl: 0.5000 0.0000 0.0000  2 Zr 2.69

=====

[6]
The following is a GGA-PBE calculation of a relaxed structure of InSb2Cl, from the Alexandria database.

Properties
* symmetry: Cmm2, No. 35
* total energy: -3.388 eV/atom
* ΔE_f (raw): -0.181 eV/atom

a b c (Å): 4.4166 5.7714 9.6337
angles (deg): 90.00 90.00 90.00
With the nearest neighbours (Å) after each atom.
Positions (direct):
In: 0.0000 0.0000 0.0000  2 Cl 2.79
In: 0.5000 0.5000 0.0000  2 Cl 2.79
Sb: 0.0000 0.0000 0.5048  2 Sb 2.93
Sb: 0.0000 0.5000 0.7042  2 Sb 2.93
Sb: 0.5000 0.0000 0.7042  2 Sb 2.93
Sb: 0.5000 0.5000 0.5048  2 Sb 2.93
Cl: 0.0000 0.5000 0.1762  2 In 2.79
Cl: 0.5000 0.0000 0.1762  2 In 2.79

=====

[7]
The following is a GGA-PBE calculation of a relaxed structure of InSb2Cl, from the Alexandria database.

Properties
* symmetry: P4/mmm, No. 123
* total energy: -3.223 eV/atom
* ΔE_f (raw): -0.016 eV/atom

a b c (Å): 3.7949 3.7949 7.5746
angles (deg): 90.00 90.00 90.00
With the nearest neighbours (Å) after each atom.
Positions (direct):
In: 0.0000 0.0000 0.0000  8 Sb 3.12
Sb: 0.5000 0.5000 0.2093  4 In 3.12, 1 Sb 3.17, 4 Cl 3.47
Sb: 0.5000 0.5000 0.7907  4 In 3.12, 1 Sb 3.17, 4 Cl 3.47
Cl: 0.0000 0.0000 0.5000  8 Sb 3.47, 2 In 3.79, 4 Cl 3.79

=====

[8]
The following is a GGA-PBE calculation of a relaxed structure of InSbCl2, from the Alexandria database.

Properties
* symmetry: P4/mmm, No. 123
* E above lowest polymorph: 0.3068 eV/atom
* total energy: -2.832 eV/atom
* ΔE_f (raw): -0.193 eV/atom

a b c (Å): 4.6953 4.6953 4.4923
angles (deg): 90.00 90.00 90.00
With the nearest neighbours (Å) after each atom.
Positions (direct):
In: 0.0000 0.0000 0.0000  8 Cl 3.25, 4 Sb 3.32
Sb: 0.5000 0.5000 0.0000  8 Cl 3.25, 4 In 3.32
Cl: 0.0000 0.5000 0.5000  4 Sb 3.25, 4 In 3.25, 4 Cl 3.32
Cl: 0.5000 0.0000 0.5000  4 Sb 3.25, 4 In 3.25, 4 Cl 3.32

=====

[9]
The following is a GGA-PBE calculation of a relaxed structure of InSb2Cl, from the Alexandria database.

Properties
* symmetry: Fm-3m, No. 225
* total energy: -3.198 eV/atom
* ΔE_f (raw): 0.010 eV/atom

a b c (Å): 7.3812 7.3812 7.3812
angles (deg): 90.00 90.00 90.00
With the nearest neighbours (Å) after each atom.
Positions (direct):
In: 0.0000 0.0000 0.0000  8 Sb 3.20
In: 0.0000 0.5000 0.5000  8 Sb 3.20
In: 0.5000 0.0000 0.5000  8 Sb 3.20
In: 0.5000 0.5000 0.0000  8 Sb 3.20
Sb: 0.2500 0.2500 0.2500  4 Cl 3.20, 4 In 3.20
Sb: 0.2500 0.2500 0.7500  4 Cl 3.20, 4 In 3.20
Sb: 0.2500 0.7500 0.2500  4 Cl 3.20, 4 In 3.20
Sb: 0.2500 0.7500 0.7500  4 Cl 3.20, 4 In 3.20
Sb: 0.7500 0.2500 0.2500  4 Cl 3.20, 4 In 3.20
Sb: 0.7500 0.2500 0.7500  4 Cl 3.20, 4 In 3.20
Sb: 0.7500 0.7500 0.2500  4 Cl 3.20, 4 In 3.20
Sb: 0.7500 0.7500 0.7500  4 In 3.20, 4 Cl 3.20
Cl: 0.0000 0.0000 0.5000  8 Sb 3.20
Cl: 0.0000 0.5000 0.0000  8 Sb 3.20
Cl: 0.5000 0.0000 0.0000  8 Sb 3.20
Cl: 0.5000 0.5000 0.5000  8 Sb 3.20

=====

[10]
The following is a GGA-PBE calculation of a relaxed structure of InSbCl2, from the Alexandria database.

Properties
* symmetry: R-3m, No. 166
* E above lowest polymorph: 0.0077 eV/atom
* total energy: -3.131 eV/atom
* ΔE_f (raw): -0.493 eV/atom

a b c (Å): 3.6322 3.6322 29.4626
angles (deg): 90.00 90.00 120.00
With the nearest neighbours (Å) after each atom.
Positions (direct):
In: 0.0000 0.0000 0.0000  6 Cl 3.09
In: 0.3333 0.6667 0.6667  6 Cl 3.09
In: 0.6667 0.3333 0.3333  6 Cl 3.09
Sb: 0.0000 0.0000 0.5000  2 Cl 2.64
Sb: 0.3333 0.6667 0.1667  2 Cl 2.64
Sb: 0.6667 0.3333 0.8333  2 Cl 2.64
Cl: 0.0000 0.0000 0.4105  1 Sb 2.64
Cl: 0.0000 0.0000 0.5895  1 Sb 2.64
Cl: 0.3333 0.6667 0.0771  1 Sb 2.64
Cl: 0.3333 0.6667 0.2562  1 Sb 2.64
Cl: 0.6667 0.3333 0.7438  1 Sb 2.64
Cl: 0.6667 0.3333 0.9229  1 Sb 2.64

=====

[11]
The following is a GGA-PBE calculation of a relaxed structure of InSb2Cl, from the Alexandria database.

Properties
* symmetry: I4/mmm, No. 139
* total energy: -3.294 eV/atom
* ΔE_f (raw): -0.086 eV/atom

a b c (Å): 4.2424 4.2424 14.1161
angles (deg): 90.00 90.00 90.00
With the nearest neighbours (Å) after each atom.
Positions (direct):
In: 0.0000 0.0000 0.0000  4 Cl 3.00
In: 0.5000 0.5000 0.5000  4 Cl 3.00
Sb: 0.0000 0.5000 0.2500  4 Sb 3.00
Sb: 0.0000 0.5000 0.7500  4 Sb 3.00
Sb: 0.5000 0.0000 0.2500  4 Sb 3.00
Sb: 0.5000 0.0000 0.7500  4 Sb 3.00
Cl: 0.0000 0.0000 0.5000  4 In 3.00
Cl: 0.5000 0.5000 0.0000  4 In 3.00

=====

[12]
The following is a GGA-PBE calculation of a relaxed structure of InSbCl2, from the Alexandria database.

Properties
* symmetry: P4/mmm, No. 123
* E above lowest polymorph: 0.2638 eV/atom
* total energy: -2.875 eV/atom
* ΔE_f (raw): -0.237 eV/atom

a b c (Å): 5.6159 5.6159 3.3046
angles (deg): 90.00 90.00 90.00
With the nearest neighbours (Å) after each atom.
Positions (direct):
In: 0.0000 0.0000 0.0000  8 Cl 3.26, 2 In 3.30
Sb: 0.5000 0.5000 0.0000  8 Cl 3.26, 2 Sb 3.30
Cl: 0.0000 0.5000 0.5000  4 Sb 3.26, 4 In 3.26, 2 Cl 3.30
Cl: 0.5000 0.0000 0.5000  4 Sb 3.26, 4 In 3.26, 2 Cl 3.30